[1]
Ti2GaNi3: optimized geometry, PBE.

abc: 6.616 6.616 3.073
angles: 90.00 90.00 143.54
Element x y z (fractional)
Ti 0.162 0.838 0.000
Ti 0.838 0.162 0.000
Ga 0.500 0.500 0.000
Ni 0.000 0.000 0.500
Ni 0.320 0.680 0.500
Ni 0.680 0.320 0.500

crystal system: orthorhombic
distance to the lowest polymorph of the same formula: 0 meV per atom

[2]
TiGaNi3: optimized geometry, PBE.

abc: 4.361 4.361 4.361
angles: 90.00 90.00 90.00
Element x y z (fractional)
Ti 0.000 0.000 0.000
Ga 0.500 0.500 0.500
Ni 0.000 0.000 0.500
Ni 0.000 0.500 0.000
Ni 0.500 0.000 0.000

crystal system: cubic
distance to the lowest polymorph of the same formula: 892 meV per atom

[3]
Ti2GaNi4: optimized geometry, PBE.

abc: 6.843 6.843 6.843
angles: 143.79 143.79 52.15
Element x y z (fractional)
Ti 0.127 0.127 0.000
Ti 0.873 0.873 0.000
Ga 0.500 0.500 0.000
Ni 0.000 0.500 0.500
Ni 0.307 0.307 0.000
Ni 0.500 0.000 0.500
Ni 0.693 0.693 0.000

crystal system: tetragonal
distance to the lowest polymorph of the same formula: 665 meV per atom

[4]
Ti2GaNi4: optimized geometry, PBE.

abc: 6.241 5.466 4.643
angles: 75.77 58.09 46.14
Element x y z (fractional)
Ti 0.147 0.147 0.853
Ti 0.853 0.853 0.147
Ga 0.500 0.500 0.500
Ni 0.000 0.000 0.500
Ni 0.250 0.250 0.250
Ni 0.500 0.500 0.000
Ni 0.750 0.750 0.750

crystal system: orthorhombic
distance to the lowest polymorph of the same formula: 0 meV per atom

[5]
Ti7GaNi4: optimized geometry, PBE.

abc: 6.433 6.433 7.703
angles: 121.20 121.20 43.11
Element x y z (fractional)
Ti 0.000 0.000 0.000
Ti 0.230 0.230 0.692
Ti 0.279 0.279 0.093
Ti 0.435 0.435 0.596
Ti 0.565 0.565 0.404
Ti 0.721 0.721 0.907
Ti 0.770 0.770 0.308
Ga 0.500 0.500 0.000
Ni 0.037 0.037 0.701
Ni 0.196 0.196 0.355
Ni 0.804 0.804 0.645
Ni 0.963 0.963 0.299

crystal system: monoclinic

[6]
Ti8GaNi2: optimized geometry, PBE.

abc: 6.982 6.982 4.333
angles: 99.16 99.16 117.10
Element x y z (fractional)
Ti 0.085 0.313 0.589
Ti 0.232 0.768 0.000
Ti 0.313 0.085 0.589
Ti 0.394 0.394 0.190
Ti 0.606 0.606 0.810
Ti 0.687 0.915 0.411
Ti 0.768 0.232 0.000
Ti 0.915 0.687 0.411
Ga 0.000 0.000 0.000
Ni 0.311 0.689 0.500
Ni 0.689 0.311 0.500

crystal system: monoclinic

| no. | energy relative to the elements (eV/atom) | uncorrected energy (Ry per atom) |
| --- | --- | --- |
| 1 | -0.41 | -0.47274 |
| 2 | 0.85 | -0.35288 |
| 3 | 0.44 | -0.40813 |
| 4 | -0.23 | -0.45698 |
| 5 | -0.12 | -0.50734 |
| 6 | -0.12 | -0.52841 |